*A*
Crystalline W2Se at its relaxed geometry. Source: OQMD via LeMat-Bulk, functional GGA-PBE.

Structure (POSCAR):
```
W2Se
1.0
-1.0338 -1.8418 4.9297
-4.6458 -2.4789 1.0168
-0.0742 -5.2816 0.9284
Se W
2 4
Direct
0.0000 0.0000 0.0000 Se
0.2500 0.2500 0.2500 Se
0.6250 0.6250 0.1250 W
0.6250 0.1250 0.6250 W
0.1250 0.6250 0.6250 W
0.6250 0.6250 0.6250 W
```

Total magnetic moment in μB per formula unit: 0.00

***

*B*
Crystalline W2Se at its relaxed geometry. Source: OQMD via LeMat-Bulk, functional GGA-PBE.

Structure (POSCAR):
```
W2Se
1.0
4.1890 2.4185 6.8406
-4.1890 2.4185 6.8406
0.0000 -4.8370 6.8406
Se W
2 4
Direct
0.2500 0.2500 0.2500 Se
0.5000 0.5000 0.5000 Se
0.8750 0.3750 0.3750 W
0.3750 0.8750 0.3750 W
0.3750 0.3750 0.3750 W
0.3750 0.3750 0.8750 W
```

Total magnetic moment in μB per formula unit: 9.56

***

Least stable structure: *B*